(1)
The following is a DFT calculation (GGA-PBE) of a relaxed La8Pr2Ho3 crystal.

Geometry as extended XYZ:
```
13
Lattice="5.7847 0.0000 0.7211 0.0000 7.7554 0.0000 -1.2884 -3.8777 10.3806" Properties=species:S:1:pos:R:3 pbc="T T T"
La 2.6263 2.3291 2.4919
La 1.8699 1.5486 8.6098
La 1.8699 -1.5486 8.6098
La 2.6263 5.4263 2.4919
La -0.8375 0.0000 6.7993
La 4.8280 3.8777 8.4005
La -0.3317 0.0000 2.7011
La 5.3338 3.8777 4.3023
Ho 0.0000 2.1840 0.0000
Ho 2.8923 0.0000 0.3605
Ho 0.0000 5.5714 0.0000
Pr 2.2811 0.0000 5.3536
Pr 2.2152 3.8777 5.7480
```

Total magnetic moment ... 0.00 μB/cell
Volume ... 36.377 Å³ per atom
E_form ... 0.170 eV/atom
D(E_F) ... 1.368 states/eV per atom
Crystal system ... monoclinic
Space-group type ... C2/m (12)
Total DFT energy (no corrections) ... -4.654 eV/atom

(2)
The following is a DFT calculation (GGA-PBE) of a relaxed RbInGa2I4 crystal.

Geometry as extended XYZ:
```
8
Lattice="4.8936 0.0000 0.0000 0.0001 8.5592 -0.2023 0.0000 2.9790 7.9235" Properties=species:S:1:pos:R:3 pbc="T T T"
In 2.4469 7.2586 7.8223
I 2.4468 4.1949 6.0087
I 0.0001 8.8241 5.7820
I 2.4469 7.3432 1.7125
I 4.8936 2.7141 1.9392
Rb 0.0001 5.7690 3.8606
Ga 0.0000 2.9790 7.9235
Ga 2.4468 1.4895 3.9617
```

Total magnetic moment ... 0.00 μB/cell
Volume ... 41.853 Å³ per atom
D(E_F) ... 0.000 states/eV per atom
Uncorrected formation energy ... -5.2 eV/f.u.
Crystal system ... monoclinic
Space-group type ... P2/m (10)
Total DFT energy (no corrections) ... -2.639 eV/atom

(3)
The following is a DFT calculation (GGA-PBE) of a relaxed ReTc2P crystal.

Geometry as extended XYZ:
```
4
Lattice="-1.9955 -3.2390 -1.2300 1.1346 -3.6324 1.2264 -3.0098 -1.9512 3.5227" Properties=species:S:1:pos:R:3 pbc="T T T"
Tc -0.7975 -2.2269 0.6596
Tc -2.3730 -2.0305 2.6986
P -0.5793 -4.5803 0.0046
Re -2.0562 -4.3963 1.9159
```

Total magnetic moment ... 0.00 μB/cell
Volume ... 15.458 Å³ per atom
E_form ... 0.016 eV/atom
D(E_F) ... 0.749 states/eV per atom
Crystal system ... trigonal
Space-group type ... R3m (160)
Total DFT energy (no corrections) ... -9.631 eV/atom

(4)
The following is a DFT calculation (GGA-PBE) of a relaxed TcAgRu2 crystal.

Geometry as extended XYZ:
```
4
Lattice="-2.2654 -1.1344 -0.8959 0.3160 0.1527 2.6642 -4.2683 8.5090 0.0185" Properties=species:S:1:pos:R:3 pbc="T T T"
Ag -4.1806 5.9003 0.8981
Ru -2.0458 1.6444 0.8888
Ru -0.0630 0.1256 0.0003
Tc -2.0624 4.1114 0.0090
```

Total magnetic moment ... 0.57 μB/cell
Volume ... 15.316 Å³ per atom
E_form ... 0.499 eV/atom
D(E_F) ... 1.110 states/eV per atom
Crystal system ... orthorhombic
Space-group type ... Cmm2 (35)
Total DFT energy (no corrections) ... -7.443 eV/atom

(5)
The following is a DFT calculation (GGA-PBE) of a relaxed CaScCr crystal.

Geometry as extended XYZ:
```
3
Lattice="6.6450 0.0092 0.0000 4.8539 4.5382 0.0000 -5.7494 -2.2737 2.4352" Properties=species:S:1:pos:R:3 pbc="T T T"
Ca 11.2929 4.4660 0.0000
Sc 8.0593 3.1872 0.0000
Cr 3.6454 1.4417 0.0000
```

Total magnetic moment ... 2.93 μB/cell
Volume ... 24.442 Å³ per atom
E_form ... 0.387 eV/atom
D(E_F) ... 0.915 states/eV per atom
Crystal system ... tetragonal
Space-group type ... I4mm (107)
Total DFT energy (no corrections) ... -5.598 eV/atom

(6)
The following is a DFT calculation (GGA-PBE) of a relaxed KY2Ga2 crystal.

Geometry as extended XYZ:
```
10
Lattice="8.6970 0.0000 0.0000 0.0000 8.6970 0.0000 0.0000 0.0000 3.5934" Properties=species:S:1:pos:R:3 pbc="T T T"
K 0.0000 0.0000 0.0000
K 4.3485 4.3485 0.0000
Ga 5.3704 1.0219 0.0000
Ga 1.0219 3.3266 0.0000
Ga 7.6751 5.3704 0.0000
Ga 3.3266 7.6751 0.0000
Y 5.8308 7.2147 1.7967
Y 1.4823 5.8308 1.7967
Y 2.8662 1.4823 1.7967
Y 7.2147 2.8662 1.7967
```

Total magnetic moment ... 0.00 μB/cell
Volume ... 27.180 Å³ per atom
E_form ... -0.192 eV/atom
D(E_F) ... 0.779 states/eV per atom
Crystal system ... tetragonal
Space-group type ... P4/mbm (127)
Total DFT energy (no corrections) ... -4.207 eV/atom

(7)
The following is a DFT calculation (GGA-PBE) of a relaxed LuPuPtPb crystal.

Geometry as extended XYZ:
```
4
Lattice="-0.1475 -0.4783 -5.1399 -4.3310 -1.5867 -2.3224 -2.7790 3.3132 -2.8229" Properties=species:S:1:pos:R:3 pbc="T T T"
Pb -1.8144 0.3120 -2.5713
Pt -5.4431 0.9361 -7.7139
Pu 0.0000 0.0000 0.0000
Lu -3.6287 0.6241 -5.1426
```

Total magnetic moment ... 5.25 μB/cell
Volume ... 24.346 Å³ per atom
E_form ... -0.486 eV/atom
D(E_F) ... 2.761 states/eV per atom
Crystal system ... cubic
Space-group type ... F-43m (216)
Total DFT energy (no corrections) ... -7.637 eV/atom

(8)
The following is a DFT calculation (GGA-PBE) of a relaxed Ti3TeS crystal.

Geometry as extended XYZ:
```
20
Lattice="-4.5167 3.8496 -2.4580 -3.0178 -6.0417 -3.5040 -4.6824 -2.1937 5.5813" Properties=species:S:1:pos:R:3 pbc="T T T"
Ti -7.5363 -2.4840 0.3337
Ti -6.5053 -7.2692 0.1929
Ti -5.9899 0.0591 1.6222
Ti -5.7115 2.8833 -0.5736
Ti -4.6806 -1.9019 -0.7144
Ti -2.9024 -3.7824 -1.6744
Ti -6.2270 -4.4450 -2.0029
Ti -7.1390 0.4855 -0.8512
Ti -9.3145 -0.6035 1.2937
Ti -9.2754 -4.1613 1.7571
Ti -2.9414 -0.2245 -2.1379
Ti -5.0779 -4.8714 0.4705
Te -4.2234 -4.9027 -3.7014
Te -6.9596 -1.8732 -2.3221
Te -7.9935 0.5168 3.3207
Te -5.2573 -2.5127 1.9414
S -7.5161 -4.9643 -0.0727
S -4.7008 0.5784 -0.3080
S -2.2013 -1.9038 -0.3952
S -10.0156 -2.4821 0.0144
```

Total magnetic moment ... 0.00 μB/cell
Volume ... 18.414 Å³ per atom
D(E_F) ... 1.052 states/eV per atom
Uncorrected formation energy ... -3.3 eV/f.u.
Crystal system ... monoclinic
Space-group type ... C2/c (15)
Total DFT energy (no corrections) ... -6.855 eV/atom

(9)
The following is a DFT calculation (GGA-PBE) of a relaxed AcSm4Dy7 crystal.

Geometry as extended XYZ:
```
12
Lattice="-6.7957 2.4604 -0.8775 -7.3805 3.0427 5.3677 2.8178 8.3680 1.6267" Properties=species:S:1:pos:R:3 pbc="T T T"
Dy -6.8013 8.8090 1.7314
Dy -5.9881 11.7374 3.6500
Dy -4.5571 5.0620 4.3854
Dy -5.3703 2.1337 2.4668
Dy -5.3845 8.4617 5.0531
Dy -5.9739 5.4094 1.0637
Dy -3.3979 1.2302 -0.4387
Ac 0.0000 0.0000 0.0000
Sm -7.9815 6.3164 3.9381
Sm -8.7720 9.7266 4.6352
Sm -3.3769 7.5547 2.1787
Sm -2.5864 4.1445 1.4816
```

Total magnetic moment ... 0.00 μB/cell
Volume ... 33.339 Å³ per atom
E_form ... 0.020 eV/atom
D(E_F) ... 1.495 states/eV per atom
Crystal system ... triclinic
Space-group type ... P-1 (2)
Total DFT energy (no corrections) ... -4.580 eV/atom

(10)
The following is a DFT calculation (GGA-PBE) of a relaxed Ca4ZnMo crystal.

Geometry as extended XYZ:
```
6
Lattice="0.0000 4.5794 4.5794 4.5794 0.0000 4.5794 4.5794 4.5794 0.0000" Properties=species:S:1:pos:R:3 pbc="T T T"
Zn 0.0000 0.0000 0.0000
Mo 6.8692 6.8692 6.8692
Ca 3.4369 3.4369 3.4369
Ca 5.7220 3.4369 5.7220
Ca 5.7220 5.7220 3.4369
Ca 3.4369 5.7220 5.7220
```

Total magnetic moment ... 4.04 μB/cell
Volume ... 32.012 Å³ per atom
E_form ... 0.959 eV/atom
D(E_F) ... 0.749 states/eV per atom
Crystal system ... cubic
Space-group type ... F-43m (216)
Total DFT energy (no corrections) ... -2.393 eV/atom

(11)
The following is a DFT calculation (GGA-PBE) of a relaxed RbIrSe2N crystal.

Geometry as extended XYZ:
```
5
Lattice="5.5225 0.0000 0.0000 0.0000 5.5225 0.0000 0.0000 0.0000 3.6805" Properties=species:S:1:pos:R:3 pbc="T T T"
Se 0.0000 2.7613 0.0000
Se 2.7613 0.0000 0.0000
Rb 2.7613 2.7613 1.8402
N 0.0000 0.0000 1.8402
Ir 0.0000 0.0000 0.0000
```

Total magnetic moment ... 0.00 μB/cell
Volume ... 22.450 Å³ per atom
D(E_F) ... 0.869 states/eV per atom
Uncorrected formation energy ... 0.4 eV/f.u.
Crystal system ... tetragonal
Space-group type ... P4/mmm (123)
Total DFT energy (no corrections) ... -4.954 eV/atom

(12)
The following is a DFT calculation (GGA-PBE) of a relaxed MnVPt5 crystal.

Geometry as extended XYZ:
```
7
Lattice="-0.2513 -2.0345 -3.3135 3.5346 -1.5031 0.6548 -3.0674 -5.6110 3.6778" Properties=species:S:1:pos:R:3 pbc="T T T"
Pt 0.1080 -4.5743 0.5096
Pt -2.5106 -5.3799 1.2028
Pt -0.8081 -2.2656 -0.8385
Pt -0.6176 -5.1141 3.1869
Pt 1.0849 -1.9999 1.1457
Mn -1.5337 -2.8055 1.8389
V 1.6417 -1.7688 -1.3293
```

Total magnetic moment ... 3.88 μB/cell
Volume ... 15.999 Å³ per atom
E_form ... -0.305 eV/atom
D(E_F) ... 0.543 states/eV per atom
Crystal system ... tetragonal
Space-group type ... P4/mmm (123)
Total DFT energy (no corrections) ... -7.232 eV/atom

(13)
The following is a DFT calculation (GGA-PBE) of a relaxed LaZr2Cr crystal.

Geometry as extended XYZ:
```
4
Lattice="5.1187 0.0000 0.0000 2.5594 4.4329 0.0000 2.5594 1.4776 4.1794" Properties=species:S:1:pos:R:3 pbc="T T T"
La 7.6781 4.4329 3.1346
Zr 2.5594 1.4776 1.0449
Zr 0.0000 0.0000 0.0000
Cr 5.1187 2.9553 2.0897
```

Total magnetic moment ... 2.31 μB/cell
Volume ... 23.709 Å³ per atom
E_form ... 0.395 eV/atom
D(E_F) ... 1.502 states/eV per atom
Crystal system ... cubic
Space-group type ... F-43m (216)
Total DFT energy (no corrections) ... -7.516 eV/atom

(14)
The following is a DFT calculation (GGA-PBE) of a relaxed SiSnW2 crystal.

Geometry as extended XYZ:
```
4
Lattice="0.0000 3.2005 3.2005 3.2005 0.0000 3.2005 3.2005 3.2005 0.0000" Properties=species:S:1:pos:R:3 pbc="T T T"
Si 0.0000 0.0000 0.0000
W 1.6002 1.6002 1.6002
W 4.8007 4.8007 4.8007
Sn 3.2005 3.2005 3.2005
```

Total magnetic moment ... 0.00 μB/cell
Volume ... 16.391 Å³ per atom
D(E_F) ... 1.833 states/eV per atom
Uncorrected formation energy ... 2.3 eV/f.u.
Crystal system ... cubic
Space-group type ... Fm-3m (225)
Total DFT energy (no corrections) ... -8.265 eV/atom

(15)
The following is a DFT calculation (GGA-PBE) of a relaxed CaMgH2 crystal.

Geometry as extended XYZ:
```
4
Lattice="0.0000 3.0477 3.0477 3.0477 0.0000 3.0477 3.0477 3.0477 0.0000" Properties=species:S:1:pos:R:3 pbc="T T T"
Mg 0.0000 0.0000 0.0000
H 4.5716 4.5716 4.5716
H 1.5239 1.5239 1.5239
Ca 3.0477 3.0477 3.0477
```

Total magnetic moment ... 0.00 μB/cell
Volume ... 14.154 Å³ per atom
D(E_F) ... 0.267 states/eV per atom
Crystal system ... cubic
Space-group type ... Fm-3m (225)
Total DFT energy (no corrections) ... -2.512 eV/atom

(16)
The following is a DFT calculation (GGA-PBE) of a relaxed BaCu2Cl crystal.

Geometry as extended XYZ:
```
4
Lattice="-0.4893 -5.6720 -2.6630 3.7572 -4.8437 -1.3869 -1.1718 -0.6937 4.3499" Properties=species:S:1:pos:R:3 pbc="T T T"
Ba 0.5240 -2.8023 0.0750
Cl 1.5721 -8.4070 0.2250
Cu 2.9620 -10.3685 -3.1274
Cu 1.3540 -5.7518 -0.7725
```

Total magnetic moment ... 0.00 μB/cell
Volume ... 29.079 Å³ per atom
D(E_F) ... 0.084 states/eV per atom
Uncorrected formation energy ... -1.8 eV/f.u.
Crystal system ... monoclinic
Space-group type ... C2/m (12)
Total DFT energy (no corrections) ... -3.436 eV/atom

(17)
The following is a DFT calculation (GGA-PBE) of a relaxed Tb2CeFeN4 crystal.

Geometry as extended XYZ:
```
16
Lattice="-2.7792 -1.7557 -0.8091 4.3220 -3.9672 0.8454 -2.8201 -0.6893 11.1830" Properties=species:S:1:pos:R:3 pbc="T T T"
N -2.4975 -3.6808 9.4835
N -1.8418 -3.5205 6.8834
N -1.6870 -1.7236 2.4525
N 0.0000 0.0000 0.0000
N 0.4098 -4.6886 8.7668
N -1.4101 -0.3446 5.5915
N 0.5645 -2.8917 4.3360
N 1.2202 -2.7314 1.7358
Tb -1.8910 -2.4668 4.7659
Tb -0.7519 -2.1884 0.2490
Tb 0.6137 -3.9454 6.4535
Tb -0.5253 -4.2238 10.9703
Fe -1.4966 -4.7126 8.2846
Fe 0.2193 -1.6996 2.9347
Ce -1.5000 -1.5333 8.4797
Ce 0.2227 -4.8789 2.7396
```

Total magnetic moment ... 2.35 μB/cell
Volume ... 13.887 Å³ per atom
D(E_F) ... 0.736 states/eV per atom
Uncorrected formation energy ... -9.1 eV/f.u.
Crystal system ... orthorhombic
Space-group type ... Cmcm (63)
Total DFT energy (no corrections) ... -8.253 eV/atom

(18)
The following is a DFT calculation (GGA-PBE) of a relaxed MgAu2Br crystal.

Geometry as extended XYZ:
```
4
Lattice="5.0142 0.0005 -0.0513 3.7292 3.3519 -0.0513 1.3985 0.5362 6.6810" Properties=species:S:1:pos:R:3 pbc="T T T"
Br 6.4815 2.4852 2.9807
Au 9.5781 3.6725 6.3585
Au 7.0986 2.7217 5.9410
Mg 2.1967 0.8422 1.1658
```

Total magnetic moment ... 0.00 μB/cell
Volume ... 28.138 Å³ per atom
D(E_F) ... 0.099 states/eV per atom
Uncorrected formation energy ... -1.8 eV/f.u.
Crystal system ... monoclinic
Space-group type ... Cm (8)
Total DFT energy (no corrections) ... -2.903 eV/atom

(19)
The following is a DFT calculation (GGA-PBE) of a relaxed K3Rb3Na4 crystal.

Geometry as extended XYZ:
```
10
Lattice="-1.1441 1.5609 5.2042 8.0564 -6.0842 3.5959 6.8059 8.2215 -0.9697" Properties=species:S:1:pos:R:3 pbc="T T T"
Rb 4.2988 1.5060 3.4553
Rb 7.2713 -2.8667 5.4202
Rb 9.4151 2.2417 4.3593
Na 7.5815 -0.6510 1.8619
Na 1.7833 0.1762 0.3392
Na 13.0928 1.8026 2.3376
Na 7.2705 2.9065 0.7266
K 10.8182 5.1804 0.8245
K 6.4482 6.5493 2.4152
K 3.4182 4.1162 -0.4831
```

Total magnetic moment ... 0.00 μB/cell
Volume ... 63.767 Å³ per atom
E_form ... 0.032 eV/atom
D(E_F) ... 0.726 states/eV per atom
Crystal system ... orthorhombic
Space-group type ... Amm2 (38)
Total DFT energy (no corrections) ... -1.116 eV/atom

(20)
The following is a DFT calculation (GGA-PBE) of a relaxed TbPm2Tl crystal.

Geometry as extended XYZ:
```
4
Lattice="5.5681 0.0000 0.0000 2.7841 4.8221 0.0000 2.7841 1.6074 4.5463" Properties=species:S:1:pos:R:3 pbc="T T T"
Tb 0.0000 0.0000 0.0000
Pm 8.3522 4.8221 3.4098
Pm 2.7841 1.6074 1.1366
Tl 5.5681 3.2147 2.2732
```

Total magnetic moment ... 1.40 μB/cell
Volume ... 30.517 Å³ per atom
E_form ... -0.059 eV/atom
D(E_F) ... 1.404 states/eV per atom
Crystal system ... cubic
Space-group type ... Fm-3m (225)
Total DFT energy (no corrections) ... -4.183 eV/atom